Version a
TiH2W | Alexandria via LeMat-Bulk | PBE | relaxed; symmetry = I-42d
1.0
-1.237 -1.796 -4.154
3.395 -3.215 0.379
-1.078 -4.601 -0.339
H W Ti
4 2 2
direct
0.626 0.125 0.250 H
0.124 0.625 0.250 H
0.375 0.374 0.750 H
0.875 0.876 0.750 H
0.000 0.000 0.000 W
0.750 0.250 0.500 W
0.500 0.500 0.000 Ti
0.250 0.750 0.500 Ti

Version b
TiH2W | Alexandria via LeMat-Bulk | PBE | relaxed; symmetry = Fm-3m
1.0
0.000 2.663 2.663
2.663 0.000 2.663
2.663 2.663 0.000
H W Ti
2 1 1
direct
0.250 0.250 0.250 H
0.750 0.750 0.750 H
0.500 0.500 0.500 W
0.000 0.000 0.000 Ti

Verdict on stability: version b comes out at the bottom.

Version a
Y3TiH | Alexandria via LeMat-Bulk | PBE | relaxed; symmetry = Pm-3m
1.0
-2.249 4.864 0.694
-4.076 -1.421 -3.252
-2.744 -1.877 4.260
Y H Ti
3 1 1
direct
0.000 0.500 0.000 Y
0.000 0.000 0.500 Y
0.500 0.000 0.000 Y
0.500 0.500 0.500 H
0.000 0.000 0.000 Ti

Version b
Y3TiH | Alexandria via LeMat-Bulk | PBE | relaxed; symmetry = Pm-3m
1.0
-3.669 -1.810 2.539
2.814 -0.235 3.900
-1.343 4.456 1.237
Y H Ti
3 1 1
direct
0.000 0.500 0.000 Y
0.000 0.000 0.500 Y
0.500 0.000 0.000 Y
0.000 0.000 0.000 H
0.500 0.500 0.500 Ti

Verdict on stability: version a comes out at the bottom.

Version a
Y2TiH | Alexandria via LeMat-Bulk | PBE | relaxed; symmetry = I-42d
1.0
-3.220 0.159 6.105
-0.340 -6.896 0.001
1.350 -3.522 4.707
Y H Ti
4 2 2
direct
0.519 0.125 0.250 Y
0.231 0.625 0.250 Y
0.375 0.481 0.750 Y
0.875 0.769 0.750 Y
0.500 0.500 0.000 H
0.250 0.750 0.500 H
0.000 0.000 0.000 Ti
0.750 0.250 0.500 Ti

Version b
Y2TiH | Alexandria via LeMat-Bulk | PBE | relaxed; symmetry = R-3m
1.0
-1.589 1.947 2.186
-3.268 -0.393 0.512
0.071 -5.244 7.259
Y H Ti
2 1 1
direct
0.113 0.113 0.662 Y
0.887 0.887 0.338 Y
0.500 0.500 0.500 H
0.000 0.000 0.000 Ti

Verdict on stability: version b comes out at the bottom.

Version a
Ti3ZnH | Alexandria via LeMat-Bulk | PBE | relaxed; symmetry = Cmcm
1.0
2.341 2.926 3.804
-2.577 -1.610 4.390
3.374 -3.572 0.671
H Zn Ti
2 2 6
direct
0.784 0.216 0.250 H
0.216 0.784 0.750 H
0.348 0.652 0.250 Zn
0.652 0.348 0.750 Zn
0.852 0.549 0.250 Ti
0.451 0.148 0.250 Ti
0.549 0.852 0.750 Ti
0.148 0.451 0.750 Ti
0.000 0.000 0.000 Ti
0.000 0.000 0.500 Ti

Version b
Ti3ZnH | Alexandria via LeMat-Bulk | PBE | relaxed; symmetry = P6_3/mmc
1.0
3.429 -1.980 0.000
0.000 3.959 0.000
0.000 0.000 13.306
H Zn Ti
2 2 6
direct
0.000 0.000 0.000 H
0.000 0.000 0.500 H
0.333 0.667 0.750 Zn
0.667 0.333 0.250 Zn
0.000 0.000 0.250 Ti
0.000 0.000 0.750 Ti
0.333 0.667 0.940 Ti
0.333 0.667 0.560 Ti
0.667 0.333 0.440 Ti
0.667 0.333 0.060 Ti

Version c
Ti3ZnH | Alexandria via LeMat-Bulk | PBE | relaxed; symmetry = Pm
1.0
-5.637 -4.427 -1.639
0.267 -1.345 2.715
-3.906 4.084 2.408
H Zn Ti
2 2 6
direct
0.968 0.979 0.092 H
0.978 0.479 0.845 H
0.607 0.479 0.097 Zn
0.602 0.479 0.592 Zn
0.118 0.479 0.580 Ti
0.127 0.479 0.104 Ti
0.834 0.979 0.835 Ti
0.373 0.979 0.844 Ti
0.845 0.979 0.358 Ti
0.373 0.979 0.345 Ti

Verdict on stability: version b comes out at the bottom.

Version a
Ti3ZnH | Alexandria via LeMat-Bulk | PBE | relaxed; symmetry = Fd-3m
1.0
4.618 -3.722 4.769
-2.554 -6.078 3.803
2.525 -6.951 -1.798
H Zn Ti
4 4 12
direct
0.125 0.125 0.125 H
0.125 0.625 0.125 H
0.625 0.125 0.125 H
0.125 0.125 0.625 H
0.625 0.625 0.625 Zn
0.625 0.125 0.625 Zn
0.125 0.625 0.625 Zn
0.625 0.625 0.125 Zn
0.806 0.194 0.194 Ti
0.056 0.444 0.444 Ti
0.444 0.444 0.056 Ti
0.444 0.056 0.056 Ti
0.056 0.444 0.056 Ti
0.806 0.194 0.806 Ti
0.444 0.056 0.444 Ti
0.056 0.056 0.444 Ti
0.194 0.806 0.194 Ti
0.194 0.806 0.806 Ti
0.194 0.194 0.806 Ti
0.806 0.806 0.194 Ti

Version b
Ti3ZnH | Alexandria via LeMat-Bulk | PBE | relaxed; symmetry = C2/m
1.0
14.302 0.000 -2.705
5.642 1.412 -4.510
-5.642 1.412 4.510
H Zn Ti
2 2 6
direct
0.729 0.831 0.169 H
0.271 0.169 0.831 H
0.685 0.093 0.907 Zn
0.315 0.907 0.093 Zn
0.821 0.162 0.838 Ti
0.179 0.838 0.162 Ti
0.038 0.303 0.697 Ti
0.962 0.697 0.303 Ti
0.576 0.530 0.470 Ti
0.424 0.470 0.530 Ti

Version c
Ti3ZnH | Alexandria via LeMat-Bulk | PBE | relaxed; symmetry = P4mm
1.0
3.791 0.000 0.000
0.000 3.791 0.000
0.000 0.000 6.645
H Zn Ti
1 1 3
direct
0.500 0.500 0.397 H
0.000 0.000 0.170 Zn
0.000 0.000 0.762 Ti
0.500 0.000 0.468 Ti
0.000 0.500 0.468 Ti

Version d
Ti3ZnH | Alexandria via LeMat-Bulk | PBE | relaxed; symmetry = R-3c
1.0
0.632 5.070 -0.324
-0.505 0.320 5.085
5.054 -0.668 0.476
H Zn Ti
2 2 6
direct
0.250 0.250 0.250 H
0.750 0.750 0.750 H
0.000 0.000 0.000 Zn
0.500 0.500 0.500 Zn
0.999 0.501 0.250 Ti
0.501 0.250 0.999 Ti
0.250 0.999 0.501 Ti
0.750 0.001 0.499 Ti
0.499 0.750 0.001 Ti
0.001 0.499 0.750 Ti

Verdict on stability: version c comes out at the bottom.

Version a
Ti3ZnH | Alexandria via LeMat-Bulk | PBE | relaxed; symmetry = Cmcm
1.0
-3.198 0.879 -4.500
3.677 -1.890 -2.982
-3.286 -3.534 1.644
H Zn Ti
2 2 6
direct
0.922 0.735 0.697 H
0.422 0.667 0.765 H
0.422 0.958 0.474 Zn
0.922 0.445 0.988 Zn
0.172 0.956 0.986 Ti
0.672 0.446 0.476 Ti
0.422 0.446 0.986 Ti
0.172 0.446 0.476 Ti
0.672 0.956 0.986 Ti
0.922 0.956 0.476 Ti

Version b
Ti3ZnH | Alexandria via LeMat-Bulk | PBE | relaxed; symmetry = Pmm2
1.0
-3.579 6.064 -1.644
-1.529 -0.187 2.637
4.427 3.373 2.805
H Zn Ti
2 2 6
direct
0.934 0.929 0.070 H
0.231 0.929 0.070 H
0.583 0.428 0.067 Zn
0.583 0.428 0.571 Zn
0.083 0.428 0.568 Ti
0.083 0.429 0.070 Ti
0.817 0.929 0.806 Ti
0.348 0.929 0.806 Ti
0.815 0.928 0.333 Ti
0.350 0.928 0.333 Ti

Verdict on stability: version b comes out at the bottom.

Version a
Ti3ZnH | Alexandria via LeMat-Bulk | PBE | relaxed; symmetry = P2_1/c
1.0
17.580 0.000 -2.372
0.000 5.056 0.000
-6.415 0.000 3.913
H Zn Ti
4 4 12
direct
0.073 0.381 0.479 H
0.927 0.619 0.521 H
0.427 0.881 0.021 H
0.573 0.119 0.979 H
0.423 0.706 0.416 Zn
0.577 0.294 0.584 Zn
0.077 0.206 0.084 Zn
0.923 0.794 0.916 Zn
0.221 0.059 0.735 Ti
0.779 0.941 0.265 Ti
0.279 0.559 0.765 Ti
0.721 0.441 0.235 Ti
0.335 0.197 0.347 Ti
0.665 0.803 0.653 Ti
0.165 0.697 0.153 Ti
0.835 0.303 0.847 Ti
0.543 0.762 0.039 Ti
0.457 0.238 0.961 Ti
0.957 0.262 0.461 Ti
0.043 0.738 0.539 Ti

Version b
Ti3ZnH | Alexandria via LeMat-Bulk | PBE | relaxed; symmetry = P6_3/mmc
1.0
2.628 -1.517 0.000
0.000 3.034 0.000
0.000 0.000 17.876
H Zn Ti
2 2 6
direct
0.333 0.667 0.750 H
0.667 0.333 0.250 H
0.000 0.000 0.000 Zn
0.000 0.000 0.500 Zn
0.000 0.000 0.250 Ti
0.000 0.000 0.750 Ti
0.333 0.667 0.877 Ti
0.333 0.667 0.623 Ti
0.667 0.333 0.377 Ti
0.667 0.333 0.123 Ti

Version c
Ti3ZnH | Alexandria via LeMat-Bulk | PBE | relaxed; symmetry = C2/c
1.0
10.542 0.000 0.598
4.227 5.698 -2.021
-4.227 5.698 2.021
H Zn Ti
4 4 12
direct
0.750 0.188 0.688 H
0.250 0.812 0.312 H
0.750 0.445 0.945 H
0.250 0.555 0.055 H
0.064 0.505 0.376 Zn
0.436 0.876 0.005 Zn
0.936 0.495 0.624 Zn
0.564 0.124 0.995 Zn
0.391 0.412 0.451 Ti
0.109 0.951 0.912 Ti
0.609 0.588 0.549 Ti
0.891 0.049 0.088 Ti
0.107 0.212 0.169 Ti
0.393 0.669 0.712 Ti
0.893 0.788 0.831 Ti
0.607 0.331 0.288 Ti
0.561 0.878 0.754 Ti
0.939 0.254 0.378 Ti
0.439 0.122 0.246 Ti
0.061 0.746 0.622 Ti

Verdict on stability: version b comes out at the bottom.

Version a
Ti3ZnH | Alexandria via LeMat-Bulk | PBE | relaxed; symmetry = P4/mmm
1.0
-5.403 1.379 -5.409
-1.917 -1.661 1.491
-1.788 4.756 2.998
H Zn Ti
2 2 6
direct
0.082 0.929 0.319 H
0.082 0.929 0.819 H
0.583 0.428 0.069 Zn
0.583 0.428 0.569 Zn
0.082 0.429 0.569 Ti
0.082 0.429 0.069 Ti
0.822 0.929 0.819 Ti
0.343 0.929 0.819 Ti
0.822 0.929 0.319 Ti
0.343 0.929 0.319 Ti

Version b
Ti3ZnH | Alexandria via LeMat-Bulk | PBE | relaxed; symmetry = Amm2
1.0
2.921 0.000 0.000
0.000 3.073 -3.880
0.000 3.073 3.880
H Zn Ti
1 1 3
direct
0.500 0.008 0.992 H
0.000 0.660 0.340 Zn
0.500 0.171 0.368 Ti
0.500 0.632 0.829 Ti
0.000 0.157 0.843 Ti

Verdict on stability: version b comes out at the bottom.